BaLa2Hg (PBE, optimized geometry); crystal system = monoclinic; D(E_F) = 5.7 states/eV/cell; symmetry = Cm (8); energy of formation from the pure elements = -0.105 eV per atom; V = 147.37 Å³/cell; calculated total energy = -12.5 eV/cell
1.0
7.1116 0.0165 0.0030
5.9290 3.9271 0.0030
2.3802 0.7198 5.2965
La Hg Ba
2 1 1
direct
0.9635 0.9635 0.0279
0.7440 0.7440 0.7590
0.2604 0.2604 0.2530
0.5322 0.5322 0.4601